# CoBiF3, optimized geometry, DFT GGA+U
data_CoBiF3
_chemical_formula_sum 'Co1 Bi1 F3'
_space_group_name_H-M_alt 'P 1'
_space_group_IT_number 1
_cell_length_a 4.172
_cell_length_b 4.172
_cell_length_c 4.172
_cell_angle_alpha 90.00
_cell_angle_beta 90.00
_cell_angle_gamma 90.00
loop_
_space_group_symop_operation_xyz
'x,y,z'
loop_
_atom_site_label
_atom_site_type_symbol
_atom_site_fract_x
_atom_site_fract_y
_atom_site_fract_z
Co1 Co 0.000 0.000 0.000
Bi1 Bi 0.500 0.500 0.500
F1 F 0.000 0.500 0.000
F2 F 0.000 0.000 0.500
F3 F 0.500 0.000 0.000
# Energy above the most stable polymorph in this dataset   0.00 eV/f.u.
# E_tot   -21.250 eV for the cell shown
# N(E_F)   7.00 states/eV/f.u.
# Total moment   2.53 μB/f.u.
# V   14.52 Å³/atom